The following is a DFT calculation (PBE) of an optimized crystal structure of LaNi2.

a = 5.815 Å, b = 5.815 Å, c = 5.313 Å
α = 90.00°, β = 90.00°, γ = 139.40°
Element x y z (fractional)
La 0.121 0.879 0.750
La 0.879 0.121 0.250
Ni 0.183 0.817 0.250
Ni 0.424 0.576 0.750
Ni 0.576 0.424 0.250
Ni 0.817 0.183 0.750

Summary:
For the spin magnetization, the calculation gives 0.000 μB/atom. The calculated total energy is -5.56 eV/atom. The space-group type is Cmcm (63). As for the energy of formation: -0.07 eV/atom.



The following is a DFT calculation (PBE) of an optimized crystal structure of TePt.

a = 3.993 Å, b = 3.993 Å, c = 5.874 Å
α = 90.00°, β = 90.00°, γ = 90.00°
Element x y z (fractional)
Te 0.250 0.250 0.184
Te 0.750 0.750 0.816
Pt 0.250 0.750 0.500
Pt 0.750 0.250 0.500

Summary:
For the spin magnetization, the calculation gives 0.000 μB/atom. The calculated total energy is -4.75 eV/atom. The space-group type is P4/nmm (129). The uncorrected formation energy comes out at -157 meV per atom.



The following is a DFT calculation (PBE) of an optimized crystal structure of KInC.

a = 6.267 Å, b = 4.327 Å, c = 11.844 Å
α = 90.00°, β = 90.00°, γ = 90.00°
Element x y z (fractional)
K 0.078 0.250 0.151
K 0.422 0.750 0.651
K 0.578 0.250 0.349
K 0.922 0.750 0.849
In 0.061 0.750 0.408
In 0.439 0.250 0.908
In 0.561 0.750 0.092
In 0.939 0.250 0.592
C 0.123 0.250 0.419
C 0.377 0.750 0.919
C 0.623 0.250 0.081
C 0.877 0.750 0.581

Summary:
For the spin magnetization, the calculation gives 0.009 μB/atom. The calculated total energy is -3.43 eV/atom. The space-group type is Pnma (62). As for the energy of formation: 0.92 eV/atom.